The following is a PBE+U calculation of crystalline BaFe2O4 at its relaxed geometry, from Alexandria.

a = 6.9355 Å, b = 6.9355 Å, c = 6.9355 Å
α = 127.62°, β = 127.62°, γ = 77.25°
Fractional coordinates of all 14 atoms:
Ba1 0.3750 0.6250 0.7500
Ba2 0.6250 0.3750 0.2500
Fe1 0.0000 0.0000 0.0000
Fe2 0.0000 0.0000 0.5000
Fe3 0.0000 0.5000 0.0000
Fe4 0.5000 0.0000 0.5000
O1 0.1752 0.2238 0.9514
O2 0.2238 0.1752 0.4514
O3 0.2238 0.7724 0.0486
O4 0.2276 0.7762 0.4514
O5 0.7724 0.2238 0.5486
O6 0.7762 0.2276 0.9514
O7 0.7762 0.8248 0.5486
O8 0.8248 0.7762 0.0486

Properties
- Energy above the lowest structure with this stoichiometry: 412.2 meV per atom
- Crystal system: tetragonal
- Density: 5.12 Mg/m³
- Electronic total energy: -6.176 eV per atom